No. 1
The following is a PBE calculation of a relaxed structure of CsCdHgCl2, from Alexandria.

Values from the calculation:
DOS at the Fermi energy: 0.31 states/eV per atom
Final energy: -0.155 Ry/atom

a b c (Å): 5.760 5.760 5.527
angles (deg): 90.00 90.00 90.00
Space group P4/mmm (No. 123)
Asymmetric unit:
Cs 0.000 0.000 0.000 [1 per cell]
Cd 0.500 0.500 0.500 [1 per cell]
Hg 0.500 0.500 0.000 [1 per cell]
Cl 0.000 0.500 0.500 [2 per cell]

***

No. 2
The following is a PBE calculation of a relaxed structure of LiBPdRh2, from Alexandria.

Values from the calculation:
DOS at the Fermi energy: 1.23 states/eV per atom
Final energy: -0.431 Ry/atom
Energy of formation from the pure elements: -0.166 eV/atom

a b c (Å): 4.085 4.085 4.158
angles (deg): 90.00 90.00 90.00
Space group P4/mmm (No. 123)
Asymmetric unit:
Li 0.000 0.000 0.000 [1 per cell]
B 0.500 0.500 0.500 [1 per cell]
Pd 0.500 0.500 0.000 [1 per cell]
Rh 0.000 0.500 0.500 [2 per cell]

***

No. 3
The following is a PBE calculation of a relaxed structure of VPd2Pt, from Alexandria.

Values from the calculation:
DOS at the Fermi energy: 0.77 states/eV per atom
Final energy: -0.482 Ry/atom
Energy of formation from the pure elements: -0.172 eV/atom

a b c (Å): 2.7554 2.7554 27.2120
angles (deg): 90.00 90.00 120.00
Space group R3m (No. 160, hexagonal axes)
Asymmetric unit:
V 0.0000 0.0000 0.0000 [3 per cell]
Pd 0.0000 0.0000 0.4108 [3 per cell]
Pd 0.0000 0.0000 0.5892 [3 per cell]
Pt 0.0000 0.0000 0.1668 [3 per cell]

***

No. 4
The following is a PBE calculation of a relaxed structure of ZrSbSI2, from Alexandria.

Values from the calculation:
DOS at the Fermi energy: 1.09 states/eV per atom
Final energy: -0.243 Ry/atom
ΔE to the lowest computed polymorph: 0.426 eV/atom

a b c (Å): 5.394 5.394 5.233
angles (deg): 90.00 90.00 90.00
Space group P4/mmm (No. 123)
Asymmetric unit:
Zr 0.000 0.000 0.000 [1 per cell]
Sb 0.500 0.500 0.000 [1 per cell]
S 0.500 0.500 0.500 [1 per cell]
I 0.000 0.500 0.500 [2 per cell]

***

No. 5
The following is a PBE calculation of a relaxed structure of LaTa2Mo, from Alexandria.

Values from the calculation:
DOS at the Fermi energy: 1.03 states/eV per atom
Final energy: -0.676 Ry/atom
Energy of formation from the pure elements: 0.674 eV/atom
ΔE to the lowest computed polymorph: 0.468 eV/atom

a b c (Å): 4.008 4.008 10.112
angles (deg): 90.00 90.00 90.00
Space group I4/mmm (No. 139)
Asymmetric unit:
La 0.000 0.000 0.000 [2 per cell]
Ta 0.000 0.500 0.250 [4 per cell]
Mo 0.000 0.000 0.500 [2 per cell]

***

No. 6
The following is a PBE calculation of a relaxed structure of Ac6La3Mg, from Alexandria.

Values from the calculation:
DOS at the Fermi energy: 1.53 states/eV per atom
Final energy: -0.300 Ry/atom
Energy of formation from the pure elements: 0.022 eV/atom

a b c (Å): 10.419 6.200 13.684
angles (deg): 90.00 111.81 90.00
Space group P2_1/m (No. 11)
Asymmetric unit:
Ac 0.033 0.250 0.429 [2 per cell]
Ac 0.172 0.750 0.160 [2 per cell]
Ac 0.256 0.250 0.006 [2 per cell]
Ac 0.346 0.250 0.325 [2 per cell]
Ac 0.355 0.750 0.800 [2 per cell]
Ac 0.425 0.250 0.635 [2 per cell]
La 0.035 0.750 0.861 [2 per cell]
La 0.107 0.250 0.720 [2 per cell]
La 0.266 0.750 0.470 [2 per cell]
Mg 0.462 0.750 0.081 [2 per cell]

***

No. 7
The following is a PBE calculation of a relaxed structure of LiAc2Tl, from Alexandria.

Values from the calculation:
DOS at the Fermi energy: 0.80 states/eV per atom
Final energy: -0.219 Ry/atom
Energy of formation from the pure elements: 0.142 eV/atom

a b c (Å): 15.544 4.986 7.743
angles (deg): 90.00 104.34 90.00
Space group C2/c (No. 15)
Asymmetric unit:
Li 0.000 0.092 0.250 [4 per cell]
Ac 0.165 0.007 0.082 [8 per cell]
Tl 0.000 0.416 0.750 [4 per cell]

***

No. 8
The following is a PBE calculation of a relaxed structure of YGeRu2Au, from Alexandria.

Values from the calculation:
DOS at the Fermi energy: 1.38 states/eV per atom
Final energy: -0.408 Ry/atom
Energy of formation from the pure elements: 1.029 eV/atom

a b c (Å): 5.012 5.012 4.520
angles (deg): 90.00 90.00 90.00
Space group P4/mmm (No. 123)
Asymmetric unit:
Y 0.000 0.000 0.000 [1 per cell]
Ge 0.500 0.500 0.000 [1 per cell]
Ru 0.000 0.500 0.500 [2 per cell]
Au 0.500 0.500 0.500 [1 per cell]